1.
5
Lattice="-3.799 3.143 -2.291 -2.810 0.092 4.786 2.748 4.436 1.528" Properties=species:S:1:pos:R:3 comment="HfTaHg2Pb | Alexandria via LeMat-Bulk | PBE-GGA | relaxed" e_form_ev_per_atom=1.608 pbc="T T T"
Pb -1.405 0.046 2.393
Hg -1.900 1.572 -1.146
Hg 1.374 2.218 0.764
Ta -1.931 3.835 2.012
Hf 0.000 0.000 0.000



2.
5
Lattice="4.296 0.000 0.000 0.000 4.296 0.000 0.000 0.000 4.296" Properties=species:S:1:pos:R:3 comment="Cr3GaPt | Alexandria via LeMat-Bulk | PBE-GGA | relaxed" e_above_lowest_polymorph_mev_per_atom=342 e_form_ev_per_atom=1.443 pbc="T T T"
Cr 0.000 2.148 0.000
Cr 2.148 0.000 0.000
Cr 0.000 0.000 2.148
Pt 2.148 2.148 2.148
Ga 0.000 0.000 0.000



3.
5
Lattice="4.802 0.000 0.000 0.000 4.802 0.000 0.000 0.000 4.802" Properties=species:S:1:pos:R:3 comment="Si3WSe | Alexandria via LeMat-Bulk | PBE-GGA | relaxed" e_above_lowest_polymorph_mev_per_atom=0 raw_formation_energy_ev_per_atom=0.736 pbc="T T T"
W 0.000 0.000 0.000
Se 2.401 2.401 2.401
Si 0.000 2.401 0.000
Si 2.401 0.000 0.000
Si 0.000 0.000 2.401



4.
10
Lattice="-0.903 3.932 -1.783 -2.894 0.800 3.231 8.016 4.580 6.044" Properties=species:S:1:pos:R:3 comment="Ac2ZrGa3Pt4 | Alexandria via LeMat-Bulk | PBE-GGA | relaxed" e_form_ev_per_atom=-0.969 pbc="T T T"
Ac 1.443 3.049 0.537
Ac 4.675 3.898 6.231
Ga 4.008 2.290 3.022
Ga 6.598 5.994 4.424
Ga -0.480 0.953 2.345
Pt 1.394 2.024 3.758
Pt -1.898 2.366 0.724
Pt 0.000 0.000 0.000
Pt 4.724 4.923 3.011
Zr 2.110 4.657 3.746



5.
16
Lattice="-4.719 1.445 -1.954 3.928 -3.469 -4.841 -5.191 -11.503 4.031" Properties=species:S:1:pos:R:3 comment="CeDy2S5 | Alexandria via LeMat-Bulk | PBE-GGA | relaxed" raw_formation_energy_ev_per_atom=-1.923 pbc="T T T"
S -2.836 -3.591 -3.014
S -4.160 -8.907 -3.747
S 0.604 -2.540 -3.337
S -3.145 -9.937 0.249
S -1.244 -6.636 -1.902
S -1.822 -4.621 0.983
S -0.479 -1.646 -0.059
S -5.502 -11.881 -2.705
S -6.586 -10.987 0.573
S -4.738 -6.891 -0.863
Ce -0.674 -3.968 -1.305
Ce -5.308 -9.560 -1.459
Dy -2.438 -7.194 0.569
Dy -3.544 -6.334 -3.334
Dy -4.445 -11.642 2.128
Dy -1.536 -1.885 -4.892



6.
15
Lattice="-1.033 0.597 6.140 -5.902 -0.221 -2.060 1.447 -6.080 -0.253" Properties=species:S:1:pos:R:3 comment="PrPa6N8 | Alexandria via LeMat-Bulk | PBE-GGA | relaxed" raw_formation_energy_ev_per_atom=-1.409 pbc="T T T"
Pr 0.000 0.000 0.000
N -3.538 -3.676 2.467
N -0.397 -5.329 1.590
N -0.454 -3.380 4.409
N -2.686 -4.799 -0.906
N -5.091 -0.375 2.238
N -1.951 -2.027 1.360
N -5.034 -2.324 -0.581
N -2.803 -0.904 4.734
Pa -4.550 -2.263 3.759
Pa -0.939 -1.367 3.158
Pa -4.550 -4.337 0.670
Pa -2.033 -4.969 3.336
Pa -3.456 -0.734 0.492
Pa -0.938 -3.441 0.069



7.
4
Lattice="-3.705 0.254 0.412 -2.085 -3.099 0.106 -1.191 -1.212 6.982" Properties=species:S:1:pos:R:3 comment="Pm2PdO | Alexandria via LeMat-Bulk | PBE-GGA | relaxed" e_above_lowest_polymorph_mev_per_atom=79 raw_formation_energy_ev_per_atom=-1.569 pbc="T T T"
O -3.490 -2.029 3.750
Pm -1.714 -1.025 2.160
Pm -5.266 -3.032 5.341
Pd 0.000 0.000 0.000



8.
9
Lattice="4.916 0.000 0.000 0.000 4.916 0.000 0.000 0.000 7.591" Properties=species:S:1:pos:R:3 comment="PmGa2CuAu5 | Alexandria via LeMat-Bulk | PBE-GGA | relaxed" e_form_ev_per_atom=-0.194 pbc="T T T"
Au 2.458 0.000 1.849
Au 2.458 2.458 3.795
Au 2.458 0.000 5.742
Au 0.000 2.458 5.742
Au 0.000 2.458 1.849
Pm 0.000 0.000 3.795
Ga 2.458 2.458 1.194
Ga 2.458 2.458 6.397
Cu 0.000 0.000 0.000



9.
4
Lattice="4.947 -0.033 0.042 4.051 2.840 0.042 1.039 0.324 4.642" Properties=species:S:1:pos:R:3 comment="MnZnAg2 | Alexandria via LeMat-Bulk | PBE-GGA | relaxed" e_form_ev_per_atom=0.139 pbc="T T T"
Ag 7.553 2.356 3.467
Ag 8.964 2.796 0.162
Mn 5.077 1.584 2.383
Zn 2.459 0.767 1.158



10.
10
Lattice="-0.071 1.870 8.848 -6.939 -2.513 0.475 5.282 -3.812 -0.584" Properties=species:S:1:pos:R:3 comment="La6PmTm2Sc | Alexandria via LeMat-Bulk | PBE-GGA | relaxed" e_form_ev_per_atom=0.190 pbc="T T T"
La -4.957 -1.869 7.241
La 3.228 -2.587 1.499
La -1.103 -0.473 6.977
La -0.626 -3.983 1.763
La 1.178 -2.369 4.675
La -2.907 -2.086 4.065
Pm -3.470 -1.257 0.238
Tm 0.416 -0.913 1.255
Tm -2.145 -3.543 7.484
Sc -0.036 0.935 4.424



11.
12
Lattice="5.653 0.000 0.000 0.000 8.393 -3.285 0.000 -0.303 9.008" Properties=species:S:1:pos:R:3 comment="Nd3ErTm2 | Alexandria via LeMat-Bulk | PBE-GGA | relaxed" e_above_lowest_polymorph_mev_per_atom=279 e_form_ev_per_atom=0.287 pbc="T T T"
Er 2.787 2.242 1.586
Er 5.613 5.847 4.136
Nd 2.787 5.181 -1.027
Nd 5.613 0.692 0.490
Nd 5.613 7.332 0.495
Nd 5.613 2.909 6.749
Nd 2.787 7.397 5.233
Nd 2.787 0.757 5.227
Tm 2.787 3.934 4.716
Tm 2.787 5.757 2.139
Tm 5.613 4.156 1.006
Tm 5.613 2.332 3.584



12.
12
Lattice="6.350 -0.001 0.005 -3.175 5.499 0.005 -1.066 -1.846 11.840" Properties=species:S:1:pos:R:3 comment="Tb3Pm2Pr6Y | Alexandria via LeMat-Bulk | PBE-GGA | relaxed" e_form_ev_per_atom=0.010 pbc="T T T"
Pr 3.169 1.821 8.866
Pr -0.006 -0.010 8.856
Pr -0.006 3.655 8.866
Pr 2.115 3.662 2.994
Pr -1.059 1.831 2.984
Pr 2.115 -0.003 2.984
Tb 4.230 -0.008 5.925
Tb -2.121 3.660 5.925
Tb 1.055 1.826 5.925
Pm -0.001 3.666 0.005
Pm 3.176 1.832 0.005
Y 0.000 0.000 0.000



Number 1: ρ 9.79 Mg/m³. Number 2: ρ 8.82 Mg/m³. Number 3: ρ 5.20 Mg/m³. Number 4: ρ 11.87 Mg/m³. Number 5: ρ 4.46 Mg/m³. Number 6: ρ 11.71 Mg/m³. Number 7: ρ 8.26 Mg/m³. Number 8: ρ 12.06 Mg/m³. Number 9: ρ 8.50 Mg/m³. Number 10: ρ 6.49 Mg/m³. Number 11: ρ 7.39 Mg/m³. Number 12: ρ 6.83 Mg/m³.